# 1
# Cu2Os

A relaxed Cu2Os crystal (PBE-GGA, Alexandria).

The structure in POSCAR format:
```
Cu2Os
1.0
1.2671 -6.9894 0.0000
1.2671 6.9894 0.0000
0.0000 0.0000 4.4034
Os Cu
2 4
direct
0.1113 0.8887 0.7500 Os
0.8887 0.1113 0.2500 Os
0.5585 0.4415 0.2500 Cu
0.2225 0.7775 0.2500 Cu
0.4415 0.5585 0.7500 Cu
0.7775 0.2225 0.7500 Cu
```

Total moment ... 0.00 μB per formula unit
Final energy ... -0.44396 Ry/atom
N(E_F) ... 1.206 states/eV/atom
E above lowest polymorph ... 0.68 eV per formula unit

---

# 2
# CuOs3

A relaxed CuOs3 crystal (PBE-GGA, Alexandria).

The structure in POSCAR format:
```
CuOs3
1.0
2.7486 0.0000 0.0000
0.0000 4.3115 0.0000
0.0000 0.0000 4.6909
Os Cu
3 1
direct
0.0000 0.5000 0.3210 Os
0.5000 0.0000 0.5098 Os
0.5000 0.5000 0.8335 Os
0.0000 0.0000 0.0024 Cu
```

Total moment ... 0.00 μB per formula unit
Final energy ... -0.67273 Ry/atom
N(E_F) ... 0.784 states/eV/atom
E above lowest polymorph ... 0.55 eV per formula unit

---

# 3
# Cu5Os

A relaxed Cu5Os crystal (PBE-GGA, Alexandria).

The structure in POSCAR format:
```
Cu5Os
1.0
2.5948 0.0000 0.0000
0.0000 2.5948 0.0000
0.0000 0.0000 11.1112
Cu Os
5 1
direct
0.0000 0.0000 0.3239 Cu
0.5000 0.5000 0.8394 Cu
0.0000 0.0000 0.6761 Cu
0.0000 0.0000 0.0000 Cu
0.5000 0.5000 0.1606 Cu
0.5000 0.5000 0.5000 Os
```

Total moment ... 0.41 μB per formula unit
Final energy ... -0.37545 Ry/atom
N(E_F) ... 0.672 states/eV/atom
E above lowest polymorph ... 0.09 eV per formula unit

---

# 4
# CuOs2

A relaxed CuOs2 crystal (PBE-GGA, Alexandria).

The structure in POSCAR format:
```
CuOs2
1.0
1.3649 -6.9778 0.0000
1.3649 6.9778 0.0000
0.0000 0.0000 4.3517
Cu Os
2 4
direct
0.2760 0.7240 0.2500 Cu
0.7240 0.2760 0.7500 Cu
0.6092 0.3908 0.2500 Os
0.3908 0.6092 0.7500 Os
0.9439 0.0561 0.2500 Os
0.0561 0.9439 0.7500 Os
```

Total moment ... 0.00 μB per formula unit
Final energy ... -0.63474 Ry/atom
N(E_F) ... 0.472 states/eV/atom
E above lowest polymorph ... 0.00 eV per formula unit

---

# 5
# Cu3Os

A relaxed Cu3Os crystal (PBE-GGA, Alexandria).

The structure in POSCAR format:
```
Cu3Os
1.0
-1.7364 2.4533 2.1520
-2.1787 0.9433 -2.8334
-2.4295 -2.5993 1.0029
Cu Os
3 1
direct
0.0000 0.5000 0.5000 Cu
0.5000 0.0000 0.5000 Cu
0.0000 0.0000 0.0000 Cu
0.5000 0.5000 0.0000 Os
```

Total moment ... 0.00 μB per formula unit
Final energy ... -0.40158 Ry/atom
N(E_F) ... 1.109 states/eV/atom
E above lowest polymorph ... 0.92 eV per formula unit

---

# 6
# Cu3Os

A relaxed Cu3Os crystal (PBE-GGA, Alexandria).

The structure in POSCAR format:
```
Cu3Os
1.0
2.6357 0.0000 0.0000
-1.3179 8.5448 0.0020
1.3179 -0.2038 2.2735
Cu Os
3 1
direct
0.2500 0.7500 0.2500 Cu
0.9974 0.9922 0.9974 Cu
0.5026 0.5078 0.5026 Cu
0.7500 0.2500 0.7500 Os
```

Total moment ... 0.00 μB per formula unit
Final energy ... -0.41842 Ry/atom
N(E_F) ... 0.494 states/eV/atom
E above lowest polymorph ... 0.00 eV per formula unit

---

# 7
# Cu2Os

A relaxed Cu2Os crystal (PBE-GGA, Alexandria).

The structure in POSCAR format:
```
Cu2Os
1.0
1.3203 -6.9208 0.0000
1.3203 6.9208 0.0000
0.0000 0.0000 4.2682
Cu Os
4 2
direct
0.3957 0.6043 0.2500 Cu
0.0547 0.9453 0.2500 Cu
0.9453 0.0547 0.7500 Cu
0.6043 0.3957 0.7500 Cu
0.7214 0.2786 0.2500 Os
0.2786 0.7214 0.7500 Os
```

Total moment ... 0.00 μB per formula unit
Final energy ... -0.46050 Ry/atom
N(E_F) ... 0.670 states/eV/atom
E above lowest polymorph ... 0.00 eV per formula unit

---

# 8
# CuOs2

A relaxed CuOs2 crystal (PBE-GGA, Alexandria).

The structure in POSCAR format:
```
CuOs2
1.0
-2.2349 1.5506 2.6665
0.5276 -3.0521 2.2171
9.9504 5.7500 2.2755
Cu Os
4 8
direct
0.0818 0.0818 0.1636 Cu
0.1682 0.6682 0.3364 Cu
0.3318 0.8318 0.6636 Cu
0.9182 0.9182 0.8364 Cu
0.0059 0.5059 0.0117 Os
0.4156 0.4156 0.8312 Os
0.8344 0.3344 0.6688 Os
0.5844 0.5844 0.1688 Os
0.4941 0.9941 0.9883 Os
0.7559 0.7559 0.5117 Os
0.6656 0.1656 0.3312 Os
0.2441 0.2441 0.4883 Os
```

Total moment ... 0.00 μB per formula unit
Final energy ... -0.61603 Ry/atom
N(E_F) ... 0.988 states/eV/atom
E above lowest polymorph ... 0.76 eV per formula unit

---

# 9
# Cu2Os

A relaxed Cu2Os crystal (PBE-GGA, Alexandria).

The structure in POSCAR format:
```
Cu2Os
1.0
-2.9869 4.9896 -0.5824
-4.9618 -3.0362 -0.5648
-0.7848 0.2058 5.7878
Cu Os
8 4
direct
0.3791 0.1209 0.8791 Cu
0.8791 0.3791 0.1209 Cu
0.1209 0.8791 0.3791 Cu
0.3791 0.3791 0.3791 Cu
0.6209 0.8791 0.1209 Cu
0.1209 0.6209 0.8791 Cu
0.8791 0.1209 0.6209 Cu
0.6209 0.6209 0.6209 Cu
0.5000 0.5000 0.0000 Os
0.0000 0.0000 0.0000 Os
0.5000 0.0000 0.5000 Os
0.0000 0.5000 0.5000 Os
```

Total moment ... 1.91 μB per formula unit
Final energy ... -0.36772 Ry/atom
N(E_F) ... 0.811 states/eV/atom
E above lowest polymorph ... 3.79 eV per formula unit

---

# 10
# Cu4Os

A relaxed Cu4Os crystal (PBE-GGA, Alexandria).

The structure in POSCAR format:
```
Cu4Os
1.0
10.5480 -1.3179 -0.0039
10.5480 1.3179 -0.0039
10.3841 0.0000 2.2729
Cu Os
4 1
direct
0.9028 0.9028 0.9028 Cu
0.3010 0.3010 0.3010 Cu
0.0972 0.0972 0.0972 Cu
0.6990 0.6990 0.6990 Cu
0.5000 0.5000 0.5000 Os
```

Total moment ... 0.00 μB per formula unit
Final energy ... -0.39462 Ry/atom
N(E_F) ... 0.655 states/eV/atom
E above lowest polymorph ... 0.00 eV per formula unit

---

# 11
# Cu3Os2

A relaxed Cu3Os2 crystal (PBE-GGA, Alexandria).

The structure in POSCAR format:
```
Cu3Os2
1.0
3.6008 1.7386 -1.4100
-3.6373 2.1648 -0.2448
0.8449 1.9332 4.5417
Cu Os
3 2
direct
0.3333 0.6667 0.4160 Cu
0.0000 0.0000 0.0000 Cu
0.6667 0.3333 0.5840 Cu
0.3333 0.6667 0.9188 Os
0.6667 0.3333 0.0812 Os
```

Total moment ... 0.00 μB per formula unit
Final energy ... -0.46699 Ry/atom
N(E_F) ... 0.326 states/eV/atom
E above lowest polymorph ... 2.07 eV per formula unit

---

# 12
# Cu2Os

A relaxed Cu2Os crystal (PBE-GGA, Alexandria).

The structure in POSCAR format:
```
Cu2Os
1.0
3.2021 -2.9026 2.3245
-0.4661 4.7428 1.1706
-4.3695 -1.9257 1.1316
Cu Os
4 2
direct
0.3470 0.1530 0.5000 Cu
0.8470 0.3470 0.1940 Cu
0.6530 0.8470 0.5000 Cu
0.1530 0.6530 0.8060 Cu
0.2500 0.2500 0.0000 Os
0.7500 0.7500 0.0000 Os
```

Total moment ... 0.00 μB per formula unit
Final energy ... -0.42853 Ry/atom
N(E_F) ... 0.739 states/eV/atom
E above lowest polymorph ... 1.31 eV per formula unit

---

# 13
# CuOs

A relaxed CuOs crystal (PBE-GGA, Alexandria).

The structure in POSCAR format:
```
CuOs
1.0
-0.6341 2.9386 2.7943
-0.5456 -4.9053 5.0348
7.5361 0.4411 1.2463
Os Cu
8 8
direct
0.0000 0.3305 0.9234 Os
0.0000 0.3305 0.5766 Os
0.5000 0.8305 0.5766 Os
0.5000 0.1695 0.0766 Os
0.0000 0.6695 0.4234 Os
0.5000 0.8305 0.9234 Os
0.0000 0.6695 0.0766 Os
0.5000 0.1695 0.4234 Os
0.0000 0.6616 0.7500 Cu
0.0000 0.3384 0.2500 Cu
0.0000 0.0038 0.2500 Cu
0.0000 0.9962 0.7500 Cu
0.5000 0.5038 0.2500 Cu
0.5000 0.8384 0.2500 Cu
0.5000 0.1616 0.7500 Cu
0.5000 0.4962 0.7500 Cu
```

Total moment ... 0.00 μB per formula unit
Final energy ... -0.52266 Ry/atom
N(E_F) ... 1.016 states/eV/atom
E above lowest polymorph ... 0.70 eV per formula unit

---

# 14
# CuOs

A relaxed CuOs crystal (PBE-GGA, Alexandria).

The structure in POSCAR format:
```
CuOs
1.0
4.7529 0.0000 0.0000
0.0000 4.7529 0.0000
0.0000 0.0000 4.7529
Os Cu
4 4
direct
0.1028 0.1028 0.1028 Os
0.8972 0.6028 0.3972 Os
0.3972 0.8972 0.6028 Os
0.6028 0.3972 0.8972 Os
0.9015 0.0985 0.5985 Cu
0.5985 0.9015 0.0985 Cu
0.4015 0.4015 0.4015 Cu
0.0985 0.5985 0.9015 Cu
```

Total moment ... 0.00 μB per formula unit
Final energy ... -0.51339 Ry/atom
N(E_F) ... 1.070 states/eV/atom
E above lowest polymorph ... 0.95 eV per formula unit

---

# 15
# Cu3Os

A relaxed Cu3Os crystal (PBE-GGA, Alexandria).

The structure in POSCAR format:
```
Cu3Os
1.0
2.5071 0.0000 0.0116
0.0000 4.2758 0.0000
0.4799 0.0000 4.7686
Cu Os
3 1
direct
0.4171 0.0000 0.4993 Cu
0.0829 0.0000 0.0007 Cu
0.2500 0.5000 0.2500 Cu
0.7500 0.5000 0.7500 Os
```

Total moment ... 0.00 μB per formula unit
Final energy ... -0.40978 Ry/atom
N(E_F) ... 0.760 states/eV/atom
E above lowest polymorph ... 0.47 eV per formula unit

---

# 16
# CuOs

A relaxed CuOs crystal (PBE-GGA, Alexandria).

The structure in POSCAR format:
```
CuOs
1.0
-0.8200 2.2955 1.0179
-0.5879 -2.2696 1.2171
7.9438 0.6220 4.9968
Cu Os
2 2
direct
0.3333 0.6667 0.0514 Cu
0.6667 0.3333 0.5514 Cu
0.3333 0.6667 0.3196 Os
0.6667 0.3333 0.8196 Os
```

Total moment ... 0.00 μB per formula unit
Final energy ... -0.51924 Ry/atom
N(E_F) ... 1.093 states/eV/atom
E above lowest polymorph ... 0.79 eV per formula unit

---

# 17
# CuOs2

A relaxed CuOs2 crystal (PBE-GGA, Alexandria).

The structure in POSCAR format:
```
CuOs2
1.0
2.7196 0.0000 0.0000
-1.3598 2.3553 0.0000
0.0000 0.0000 6.5235
Os Cu
2 1
direct
0.3333 0.6667 0.6615 Os
0.6667 0.3333 0.3385 Os
0.0000 0.0000 0.0000 Cu
```

Total moment ... 0.00 μB per formula unit
Final energy ... -0.63201 Ry/atom
N(E_F) ... 1.241 states/eV/atom
E above lowest polymorph ... 0.11 eV per formula unit

---

# 18
# Cu2Os

A relaxed Cu2Os crystal (PBE-GGA, Alexandria).

The structure in POSCAR format:
```
Cu2Os
1.0
0.0000 3.3391 3.3391
3.3391 0.0000 3.3391
3.3391 3.3391 0.0000
Cu Os
4 2
direct
0.1250 0.6250 0.1250 Cu
0.6250 0.1250 0.1250 Cu
0.1250 0.1250 0.1250 Cu
0.1250 0.1250 0.6250 Cu
0.7500 0.7500 0.7500 Os
0.5000 0.5000 0.5000 Os
```

Total moment ... 0.00 μB per formula unit
Final energy ... -0.44495 Ry/atom
N(E_F) ... 1.070 states/eV/atom
E above lowest polymorph ... 0.63 eV per formula unit

---

# 19
# Cu4Os

A relaxed Cu4Os crystal (PBE-GGA, Alexandria).

The structure in POSCAR format:
```
Cu4Os
1.0
-1.6836 1.6836 5.7976
1.6836 -1.6836 5.7976
1.6836 1.6836 -5.7976
Os Cu
1 4
direct
0.0000 0.0000 0.0000 Os
0.7500 0.2500 0.5000 Cu
0.5984 0.5984 0.0000 Cu
0.2500 0.7500 0.5000 Cu
0.4016 0.4016 0.0000 Cu
```

Total moment ... 0.00 μB per formula unit
Final energy ... -0.35680 Ry/atom
N(E_F) ... 0.630 states/eV/atom
E above lowest polymorph ... 2.57 eV per formula unit

---

# 20
# CuOs2

A relaxed CuOs2 crystal (PBE-GGA, Alexandria).

The structure in POSCAR format:
```
CuOs2
1.0
0.0000 3.6130 3.6130
3.6130 0.0000 3.6130
3.6130 3.6130 0.0000
Os Cu
4 2
direct
0.1250 0.1250 0.1250 Os
0.1250 0.6250 0.1250 Os
0.6250 0.1250 0.1250 Os
0.1250 0.1250 0.6250 Os
0.7500 0.7500 0.7500 Cu
0.5000 0.5000 0.5000 Cu
```

Total moment ... 0.00 μB per formula unit
Final energy ... -0.58143 Ry/atom
N(E_F) ... 0.997 states/eV/atom
E above lowest polymorph ... 2.18 eV per formula unit